[1]
# MnSn2Au PBE-GGA relaxed
data_MnSn2Au
_chemical_formula_sum 'Mn4 Sn8 Au4'
_symmetry_space_group_name_H-M 'I -4 2 d'
_symmetry_Int_Tables_number 122
_symmetry_space_group_name_Hall 'I -4 2bw'
_cell_length_a 4.4930
_cell_length_b 4.4930
_cell_length_c 18.1990
_cell_angle_alpha 90.00
_cell_angle_beta 90.00
_cell_angle_gamma 90.00
loop_
_atom_site_label
_atom_site_type_symbol
_atom_site_fract_x
_atom_site_fract_y
_atom_site_fract_z
_atom_site_occupancy
Mn1 Mn 0.0000 0.0000 0.0000 1
Sn1 Sn 0.2416 0.2500 0.1250 1
Au1 Au 0.0000 0.0000 0.5000 1
# - E above lowest polymorph (meV per atom) = 40

[2]
# MnSnAu14 PBE-GGA relaxed
data_MnSnAu14
_chemical_formula_sum 'Mn2 Sn2 Au28'
_symmetry_space_group_name_H-M 'A m m 2'
_symmetry_Int_Tables_number 38
_symmetry_space_group_name_Hall 'A 2 -2'
_cell_length_a 9.5834
_cell_length_b 5.9742
_cell_length_c 10.1828
_cell_angle_alpha 90.00
_cell_angle_beta 90.00
_cell_angle_gamma 90.00
loop_
_atom_site_label
_atom_site_type_symbol
_atom_site_fract_x
_atom_site_fract_y
_atom_site_fract_z
_atom_site_occupancy
Mn1 Mn 0.0000 0.0000 0.0000 1
Sn1 Sn 0.0000 0.0000 0.5028 1
Au1 Au 0.0000 0.2482 0.2522 1
Au2 Au 0.2463 0.0000 0.8310 1
Au3 Au 0.2474 0.2450 0.0788 1
Au4 Au 0.2548 0.0000 0.3292 1
Au5 Au 0.5000 0.0000 0.1596 1
Au6 Au 0.5000 0.0000 0.6598 1
Au7 Au 0.5000 0.2482 0.9105 1
# - DFT total energy (eV/atom) = -3.69

[3]
# Mn2SnAu2 PBE-GGA relaxed
data_Mn2SnAu2
_chemical_formula_sum 'Mn4 Sn2 Au4'
_symmetry_space_group_name_H-M 'P 4/m b m'
_symmetry_Int_Tables_number 127
_symmetry_space_group_name_Hall '-P 4 2ab'
_cell_length_a 7.4665
_cell_length_b 7.4665
_cell_length_c 3.3342
_cell_angle_alpha 90.00
_cell_angle_beta 90.00
_cell_angle_gamma 90.00
loop_
_atom_site_label
_atom_site_type_symbol
_atom_site_fract_x
_atom_site_fract_y
_atom_site_fract_z
_atom_site_occupancy
Mn1 Mn 0.1484 0.3516 0.0000 1
Sn1 Sn 0.0000 0.0000 0.0000 1
Au1 Au 0.1440 0.6440 0.5000 1
# - E above lowest polymorph (meV per atom) = 0

[4]
# Mn2SnAu2 PBE-GGA relaxed
data_Mn2SnAu2
_chemical_formula_sum 'Mn4 Sn2 Au4'
_symmetry_space_group_name_H-M 'I 4/m m m'
_symmetry_Int_Tables_number 139
_symmetry_space_group_name_Hall '-I 4 2'
_cell_length_a 3.1740
_cell_length_b 3.1740
_cell_length_c 17.2930
_cell_angle_alpha 90.00
_cell_angle_beta 90.00
_cell_angle_gamma 90.00
loop_
_atom_site_label
_atom_site_type_symbol
_atom_site_fract_x
_atom_site_fract_y
_atom_site_fract_z
_atom_site_occupancy
Mn1 Mn 0.0000 0.5000 0.2500 1
Sn1 Sn 0.0000 0.0000 0.0000 1
Au1 Au 0.0000 0.0000 0.3784 1
# - E above lowest polymorph (meV per atom) = 327

[5]
# Mn2SnTeAu PBE-GGA relaxed
data_Mn2SnTeAu
_chemical_formula_sum 'Mn2 Sn1 Te1 Au1'
_symmetry_space_group_name_H-M 'P 4/m m m'
_symmetry_Int_Tables_number 123
_symmetry_space_group_name_Hall '-P 4 2'
_cell_length_a 5.5698
_cell_length_b 5.5698
_cell_length_c 6.8281
_cell_angle_alpha 90.00
_cell_angle_beta 90.00
_cell_angle_gamma 90.00
loop_
_atom_site_label
_atom_site_type_symbol
_atom_site_fract_x
_atom_site_fract_y
_atom_site_fract_z
_atom_site_occupancy
Mn1 Mn 0.0000 0.5000 0.0000 1
Sn1 Sn 0.0000 0.0000 0.0000 1
Te1 Te 0.0000 0.0000 0.5000 1
Au1 Au 0.5000 0.5000 0.5000 1
# - formation energy (no corrections) (meV per atom) = 1266

[6]
# MnSnW2Au PBE-GGA relaxed
data_MnSnW2Au
_chemical_formula_sum 'Mn1 Sn1 W2 Au1'
_symmetry_space_group_name_H-M 'P 4/m m m'
_symmetry_Int_Tables_number 123
_symmetry_space_group_name_Hall '-P 4 2'
_cell_length_a 4.9029
_cell_length_b 4.9029
_cell_length_c 4.8117
_cell_angle_alpha 90.00
_cell_angle_beta 90.00
_cell_angle_gamma 90.00
loop_
_atom_site_label
_atom_site_type_symbol
_atom_site_fract_x
_atom_site_fract_y
_atom_site_fract_z
_atom_site_occupancy
Mn1 Mn 0.0000 0.0000 0.0000 1
Sn1 Sn 0.5000 0.5000 0.5000 1
W1 W 0.0000 0.5000 0.5000 1
Au1 Au 0.5000 0.5000 0.0000 1
# - DFT total energy (eV/atom) = -5.65